A relaxed LiPaMnSe4 crystal, computed with PBE.

Calculated values
For the energy relative to the elements, uncorrected, the calculation gives -102.04 kJ/mol of atoms. For the magnetization, the calculation gives 10.13 Bohr magnetons per cell. As for the crystal system: orthorhombic.

Cell: 7.8930 7.8951 7.8951 Å, 65.18 60.01 60.01°
Last column: nearest neighbours and their distance in Å.
Element x y z (fractional)
1 Li 0.6587 0.5913 0.0913  4 Se 2.61-2.64
2 Li 0.3413 0.4087 0.9087  4 Se 2.61-2.64
3 Se 0.7562 0.2587 0.7587  1 Li 2.64, 1 Mn 2.77, 2 Pa 2.82
4 Se 0.2438 0.7413 0.2413  1 Li 2.64, 1 Mn 2.77, 2 Pa 2.82
5 Se 0.7449 0.7919 0.7184  1 Li 2.61, 2 Mn 2.68, 1 Pa 2.75
6 Se 0.2551 0.2081 0.2816  1 Li 2.61, 2 Mn 2.68, 1 Pa 2.75
7 Se 0.7449 0.2184 0.2919  1 Li 2.61, 2 Mn 2.68, 1 Pa 2.75
8 Se 0.7736 0.7413 0.2413  1 Li 2.64, 1 Mn 2.77, 2 Pa 2.82
9 Se 0.2264 0.2587 0.7587  1 Li 2.64, 1 Mn 2.77, 2 Pa 2.82
10 Se 0.2551 0.7816 0.7081  1 Li 2.61, 2 Mn 2.68, 1 Pa 2.75
11 Mn 0.0000 0.0000 0.5000  6 Se 2.68-2.77
12 Mn 0.5000 0.0000 0.5000  6 Se 2.68-2.77
13 Pa 0.0000 0.5000 0.5000  6 Se 2.75-2.82
14 Pa 0.0000 0.0000 0.0000  6 Se 2.75-2.82

=====

A relaxed Li2PaMnSe4 crystal, computed with PBE.

Calculated values
For the energy relative to the elements, uncorrected, the calculation gives -103.25 kJ/mol of atoms. For the magnetization, the calculation gives 3.99 Bohr magnetons per cell. As for the crystal system: tetragonal.

Cell: 5.6374 5.6374 6.7887 Å, 114.53 114.53 90.00°
Last column: nearest neighbours and their distance in Å.
Element x y z (fractional)
1 Mn 0.7500 0.2500 0.5000  6 Se 2.69-2.82
2 Se 0.7525 0.7525 0.5049  3 Li 2.72-2.82, 1 Pa 2.77, 2 Mn 2.82
3 Se 0.2475 0.2475 0.4950  3 Li 2.72-2.82, 1 Pa 2.77, 2 Mn 2.82
4 Se 0.5053 0.0053 0.0106  1 Mn 2.69, 3 Li 2.81-2.82, 2 Pa 2.82
5 Se 0.9947 0.4947 0.9894  1 Mn 2.69, 3 Li 2.81-2.82, 2 Pa 2.82
6 Pa 0.5000 0.5000 0.0000  6 Se 2.77-2.82
7 Li 0.0000 0.0000 0.0000  6 Se 2.72-2.82
8 Li 0.2500 0.7500 0.5000  6 Se 2.81-2.82

=====

A relaxed Li4Pa3MnSe8 crystal, computed with PBE.

Calculated values
For the energy relative to the elements, uncorrected, the calculation gives -112.71 kJ/mol of atoms. For the magnetization, the calculation gives 9.40 Bohr magnetons per cell. As for the crystal system: trigonal.

Cell: 7.9256 8.0518 7.9276 Å, 119.50 119.99 90.00°
Last column: nearest neighbours and their distance in Å.
Element x y z (fractional)
1 Se 0.2437 0.2310 0.4874  3 Li 2.75, 3 Pa 2.90
2 Se 0.7553 0.2459 0.5105  1 Mn 2.77, 3 Li 2.77-2.88, 2 Pa 2.88
3 Se 0.7563 0.7690 0.5126  3 Li 2.75, 3 Pa 2.90
4 Se 0.2447 0.7541 0.4895  1 Mn 2.77, 3 Li 2.77-2.88, 2 Pa 2.88
5 Se 0.7555 0.2461 0.9907  1 Mn 2.77, 3 Li 2.77-2.89, 2 Pa 2.88
6 Se 0.2445 0.7539 0.0093  1 Mn 2.77, 3 Li 2.77-2.89, 2 Pa 2.88
7 Se 0.2352 0.2461 0.9907  1 Mn 2.77, 3 Li 2.77-2.89, 2 Pa 2.88
8 Se 0.7648 0.7539 0.0093  1 Mn 2.77, 3 Li 2.77-2.89, 2 Pa 2.88
9 Pa 0.5000 0.5000 0.5000  6 Se 2.88-2.90
10 Pa 0.5000 0.5000 0.0000  6 Se 2.88-2.90
11 Pa 0.0000 0.5000 0.5000  6 Se 2.88-2.90
12 Li 0.0000 0.0000 0.0000  6 Se 2.75-2.77
13 Li 0.5000 0.0000 0.0000  6 Se 2.88-2.89
14 Li 0.0000 0.0000 0.5000  6 Se 2.75-2.77
15 Li 0.5000 0.0000 0.5000  6 Se 2.75-2.77
16 Mn 0.0000 0.5000 0.0000  6 Se 2.77

=====

A relaxed LiPaMnTc crystal, computed with PBE.

Calculated values
For the magnetization, the calculation gives 1.83 Bohr magnetons per cell. As for the crystal system: cubic.

Cell: 4.4500 4.4500 4.4500 Å, 60.00 60.00 60.00°
Last column: nearest neighbours and their distance in Å.
Element x y z (fractional)
1 Mn 0.2500 0.2500 0.2500  4 Li 2.73, 4 Pa 2.73
2 Tc 0.7500 0.7500 0.7500  4 Pa 2.73, 4 Li 2.73
3 Li 0.0000 0.0000 0.0000  4 Mn 2.73, 4 Tc 2.73
4 Pa 0.5000 0.5000 0.5000  4 Tc 2.73, 4 Mn 2.73

=====

A relaxed Li2MnPb crystal, computed with PBE.

Calculated values
For the magnetization, the calculation gives 3.74 Bohr magnetons per cell. As for the crystal system: monoclinic.

Cell: 4.7872 3.1297 5.2033 Å, 81.61 90.00 90.00°
Last column: nearest neighbours and their distance in Å.
Element x y z (fractional)
1 Mn 0.5000 0.2500 0.2500  2 Pb 2.83, 4 Li 2.88, 2 Mn 3.13
2 Li 0.0000 0.5143 0.4909  2 Li 2.72-2.95, 2 Mn 2.88, 2 Pb 2.90
3 Li 0.0000 0.9857 0.0091  2 Li 2.72-2.95, 2 Mn 2.88, 2 Pb 2.90
4 Pb 0.5000 0.7500 0.7500  2 Mn 2.83, 4 Li 2.90, 2 Pb 3.13

=====

A relaxed LiMnPb2 crystal, computed with PBE.

Calculated values
For the magnetization, the calculation gives 4.21 Bohr magnetons per cell. As for the crystal system: cubic.

Cell: 5.1765 5.1765 5.1765 Å, 60.00 60.00 60.00°
Last column: nearest neighbours and their distance in Å.
Element x y z (fractional)
1 Li 0.5000 0.5000 0.5000  4 Mn 3.17, 4 Pb 3.17
2 Pb 0.7500 0.7500 0.7500  4 Li 3.17, 4 Pb 3.17
3 Pb 0.0000 0.0000 0.0000  4 Mn 3.17, 4 Pb 3.17
4 Mn 0.2500 0.2500 0.2500  4 Pb 3.17, 4 Li 3.17

=====

Which energy belongs to each record? In order, -5.9887, -5.6240, -5.7425, -7.6626, -4.0460, -4.3127 eV per atom.